# 1
# MgPbC2 (SCAN, PBEsol geometry)
# Total magnetic moment ... 0.000 μB/atom
# Formation energy from the elements ... 1571 meV/atom
data_MgPbC2
_cell_length_a 5.375
_cell_length_b 5.375
_cell_length_c 9.359
_cell_angle_alpha 90.00
_cell_angle_beta 90.00
_cell_angle_gamma 90.00
_space_group_name_H-M_alt 'I -4 2 d'
_space_group_IT_number 122
_space_group_name_Hall 'I -4 2bw'
loop_
_atom_site_label
_atom_site_fract_x
_atom_site_fract_y
_atom_site_fract_z
Mg1 0.000 0.000 0.000
Pb1 0.000 0.000 0.500
C1 0.245 0.250 0.125

---

# 2
# BaCr3B (SCAN, PBEsol geometry)
# Total magnetic moment ... 2.340 μB/atom
# Formation energy from the elements ... 3064 meV/atom
data_BaCr3B
_cell_length_a 4.981
_cell_length_b 4.981
_cell_length_c 4.981
_cell_angle_alpha 90.00
_cell_angle_beta 90.00
_cell_angle_gamma 90.00
_space_group_name_H-M_alt 'P m -3 m'
_space_group_IT_number 221
_space_group_name_Hall '-P 4 2 3'
loop_
_atom_site_label
_atom_site_fract_x
_atom_site_fract_y
_atom_site_fract_z
Ba1 0.000 0.000 0.000
Cr1 0.000 0.000 0.500
B1 0.500 0.500 0.500

---

# 3
# Ta4AgS8 (SCAN, PBEsol geometry)
# Total magnetic moment ... 0.000 μB/atom
# Energy relative to the elements, uncorrected ... -1.0535 eV per atom
data_Ta4AgS8
_cell_length_a 5.739
_cell_length_b 3.312
_cell_length_c 13.163
_cell_angle_alpha 90.00
_cell_angle_beta 98.25
_cell_angle_gamma 90.00
_space_group_name_H-M_alt 'P 1 m 1'
_space_group_IT_number 6
loop_
_space_group_symop_operation_xyz
'x,y,z'
'x,-y,z'
loop_
_atom_site_label
_atom_site_fract_x
_atom_site_fract_y
_atom_site_fract_z
Ta1 0.000 0.000 0.000
Ta2 0.146 0.000 0.454
Ta3 0.475 0.500 0.999
Ta4 0.628 0.500 0.455
Ag1 0.712 0.500 0.702
S1 0.264 0.500 0.334
S2 0.282 0.000 0.877
S3 0.334 0.500 0.577
S4 0.363 0.000 0.120
S5 0.767 0.000 0.339
S6 0.781 0.500 0.883
S7 0.851 0.000 0.573
S8 0.855 0.500 0.114

---

# 4
# MnTl2InBi (SCAN, PBEsol geometry)
# Total magnetic moment ... 0.886 μB/atom
# Formation energy from the elements ... 522 meV/atom
data_MnTl2InBi
_cell_length_a 5.525
_cell_length_b 5.525
_cell_length_c 5.122
_cell_angle_alpha 90.00
_cell_angle_beta 90.00
_cell_angle_gamma 90.00
_space_group_name_H-M_alt 'P 4/m m m'
_space_group_IT_number 123
_space_group_name_Hall '-P 4 2'
loop_
_atom_site_label
_atom_site_fract_x
_atom_site_fract_y
_atom_site_fract_z
Mn1 0.000 0.000 0.000
Tl1 0.000 0.500 0.500
In1 0.000 0.000 0.500
Bi1 0.500 0.500 0.000

---

# 5
# TiMnFeRu2 (SCAN, PBEsol geometry)
# Total magnetic moment ... 0.615 μB/atom
# Formation energy from the elements ... 840 meV/atom
data_TiMnFeRu2
_cell_length_a 4.303
_cell_length_b 4.303
_cell_length_c 4.214
_cell_angle_alpha 90.00
_cell_angle_beta 90.00
_cell_angle_gamma 90.00
_space_group_name_H-M_alt 'P 4/m m m'
_space_group_IT_number 123
_space_group_name_Hall '-P 4 2'
loop_
_atom_site_label
_atom_site_fract_x
_atom_site_fract_y
_atom_site_fract_z
Ti1 0.000 0.000 0.000
Mn1 0.500 0.500 0.000
Fe1 0.500 0.500 0.500
Ru1 0.000 0.500 0.500

---

# 6
# Sr3Li2Nb4O13 (SCAN, PBEsol geometry)
# Total magnetic moment ... 0.000 μB/atom
# Energy relative to the elements, uncorrected ... -2.9254 eV per atom
data_Sr3Li2Nb4O13
_cell_length_a 4.016
_cell_length_b 4.016
_cell_length_c 34.187
_cell_angle_alpha 90.00
_cell_angle_beta 90.00
_cell_angle_gamma 90.00
_space_group_name_H-M_alt 'I 4/m m m'
_space_group_IT_number 139
_space_group_name_Hall '-I 4 2'
loop_
_atom_site_label
_atom_site_fract_x
_atom_site_fract_y
_atom_site_fract_z
Sr1 0.000 0.000 0.000
Sr2 0.000 0.000 0.123
Li1 0.000 0.500 0.250
Nb1 0.000 0.000 0.320
Nb2 0.000 0.000 0.441
O1 0.000 0.000 0.265
O2 0.000 0.000 0.382
O3 0.000 0.000 0.500
O4 0.000 0.500 0.058
O5 0.000 0.500 0.174

---

# 7
# HgH2Pt (SCAN, PBEsol geometry)
# Total magnetic moment ... 0.000 μB/atom
data_HgH2Pt
_cell_length_a 4.793
_cell_length_b 4.793
_cell_length_c 8.331
_cell_angle_alpha 90.00
_cell_angle_beta 90.00
_cell_angle_gamma 90.00
_space_group_name_H-M_alt 'I -4 2 d'
_space_group_IT_number 122
_space_group_name_Hall 'I -4 2bw'
loop_
_atom_site_label
_atom_site_fract_x
_atom_site_fract_y
_atom_site_fract_z
Hg1 0.000 0.000 0.000
H1 0.128 0.250 0.625
Pt1 0.000 0.000 0.500

---

# 8
# ZrZnTe2 (SCAN, PBEsol geometry)
# Total magnetic moment ... 0.001 μB/atom
# Energy relative to the elements, uncorrected ... 0.1710 eV per atom
data_ZrZnTe2
_cell_length_a 3.6547
_cell_length_b 3.6547
_cell_length_c 27.0230
_cell_angle_alpha 90.00
_cell_angle_beta 90.00
_cell_angle_gamma 120.00
_space_group_name_H-M_alt 'R -3 m'
_space_group_IT_number 166
_space_group_name_Hall '-R 3 2"'
loop_
_atom_site_label
_atom_site_fract_x
_atom_site_fract_y
_atom_site_fract_z
Zr1 0.0000 0.0000 0.0000
Zn1 0.0000 0.0000 0.5000
Te1 0.0000 0.0000 0.1027

---

| no. | energy (eV for the cell shown) |
| --- | --- |
| 1 | -378.68 |
| 2 | -86.81 |
| 3 | -388.42 |
| 4 | -272.33 |
| 5 | -117.86 |
| 6 | -698.98 |
| 7 | -577.45 |
| 8 | -354.10 |